1.
{"formula": "RbScPd", "functional": "PBE", "state": "relaxed", "lattice": [[0.000, 3.472, 3.472], [3.472, 0.000, 3.472], [3.472, 3.472, 0.000]], "species": ["Pd", "Rb", "Sc"], "frac_coords": [[0.250, 0.250, 0.250], [0.000, 0.000, 0.000], [0.750, 0.750, 0.750]], "dft_energy_ev_per_cell": -9.20}

=====

2.
{"formula": "AlCdNiPt", "functional": "PBE", "state": "relaxed", "lattice": [[0.527, -3.865, 2.045], [1.050, -0.103, 4.276], [-2.967, -1.346, 2.964]], "species": ["Al", "Cd", "Ni", "Pt"], "frac_coords": [[0.000, 0.000, 0.000], [0.500, 0.500, 0.500], [0.750, 0.750, 0.750], [0.250, 0.250, 0.250]], "dft_energy_ev_per_cell": -17.87}

=====

3.
{"formula": "SmSnNO", "functional": "PBE", "state": "relaxed", "lattice": [[-4.106, -1.561, 2.283], [-2.129, -0.825, -4.393], [1.855, -4.857, 0.014]], "species": ["N", "N", "O", "O", "Sm", "Sm", "Sn", "Sn"], "frac_coords": [[0.750, 0.750, 0.410], [0.250, 0.250, 0.590], [0.750, 0.250, 0.000], [0.250, 0.750, 0.000], [0.750, 0.250, 0.500], [0.250, 0.750, 0.500], [0.750, 0.750, 0.002], [0.250, 0.250, 0.998]], "dft_energy_ev_per_cell": -53.78}

=====

4.
{"formula": "CsMgCoTe", "functional": "PBE", "state": "relaxed", "lattice": [[-3.896, 0.407, 3.548], [-0.635, 4.484, 2.724], [-4.150, 3.121, -0.980]], "species": ["Co", "Cs", "Mg", "Te"], "frac_coords": [[0.250, 0.250, 0.250], [0.000, 0.000, 0.000], [0.750, 0.750, 0.750], [0.500, 0.500, 0.500]], "dft_energy_ev_per_cell": -10.23}

=====

5.
{"formula": "CsK2Ag3Sb2", "functional": "PBE", "state": "relaxed", "lattice": [[-0.520, -8.409, 0.809], [2.420, -6.724, -4.534], [5.470, -6.381, 0.998]], "species": ["Ag", "Ag", "Ag", "Cs", "K", "K", "Sb", "Sb"], "frac_coords": [[0.500, 0.500, 0.000], [0.500, 0.000, 0.500], [0.000, 0.500, 0.500], [0.500, 0.500, 0.500], [0.086, 0.086, 0.086], [0.914, 0.914, 0.914], [0.245, 0.245, 0.245], [0.755, 0.755, 0.755]], "dft_energy_ev_per_cell": -22.78}

=====

6.
{"formula": "Lu9BiTe", "functional": "PBE", "state": "relaxed", "lattice": [[-8.266, 4.085, 0.167], [5.187, -1.759, -7.419], [-8.161, -16.442, -1.808]], "species": ["Bi", "Bi", "Bi", "Bi", "Lu", "Lu", "Lu", "Lu", "Lu", "Lu", "Lu", "Lu", "Lu", "Lu", "Lu", "Lu", "Lu", "Lu", "Lu", "Lu", "Lu", "Lu", "Lu", "Lu", "Lu", "Lu", "Lu", "Lu", "Lu", "Lu", "Lu", "Lu", "Lu", "Lu", "Lu", "Lu", "Lu", "Lu", "Lu", "Lu", "Te", "Te", "Te", "Te"], "frac_coords": [[0.378, 0.118, 0.205], [0.882, 0.622, 0.205], [0.118, 0.378, 0.705], [0.622, 0.882, 0.705], [0.888, 0.112, 0.024], [0.295, 0.269, 0.061], [0.731, 0.705, 0.061], [0.175, 0.825, 0.079], [0.683, 0.317, 0.087], [0.106, 0.454, 0.140], [0.546, 0.894, 0.140], [0.974, 0.026, 0.202], [0.484, 0.516, 0.220], [0.237, 0.763, 0.292], [0.724, 0.276, 0.308], [0.295, 0.148, 0.369], [0.852, 0.705, 0.369], [0.431, 0.569, 0.423], [0.923, 0.077, 0.431], [0.043, 0.522, 0.448], [0.478, 0.957, 0.448], [0.637, 0.363, 0.485], [0.112, 0.888, 0.524], [0.269, 0.295, 0.561], [0.705, 0.731, 0.561], [0.825, 0.175, 0.579], [0.317, 0.683, 0.587], [0.454, 0.106, 0.640], [0.894, 0.546, 0.640], [0.026, 0.974, 0.702], [0.516, 0.484, 0.720], [0.763, 0.237, 0.792], [0.276, 0.724, 0.808], [0.148, 0.295, 0.869], [0.705, 0.852, 0.869], [0.569, 0.431, 0.923], [0.077, 0.923, 0.931], [0.522, 0.043, 0.948], [0.957, 0.478, 0.948], [0.363, 0.637, 0.985], [0.124, 0.365, 0.306], [0.635, 0.876, 0.306], [0.365, 0.124, 0.806], [0.876, 0.635, 0.806]], "dft_energy_ev_per_cell": -206.94}